Below is a crystal of NaP3H relaxed with PBEsol, with properties calculated at the SCAN level.

Results
DOS(E_F) (states/eV/cell): 2.22
Energy (Ry/atom): -0.5267

a = 4.0560 Å, b = 4.0560 Å, c = 4.0560 Å
α = 90.00°, β = 90.00°, γ = 90.00°
Space group Pm-3m (No. 221)
Asymmetric unit:
Na (0.0000, 0.0000, 0.0000)
P (0.0000, 0.5000, 0.5000)
H (0.5000, 0.5000, 0.5000)

---

Below is a crystal of LaCo4Te relaxed with PBEsol, with properties calculated at the SCAN level.

Results
E_form (uncorrected) (meV per atom): 138
DOS(E_F) (states/eV/cell): 14.96
Energy (Ry/atom): -1.8221

a = 7.1564 Å, b = 7.1564 Å, c = 7.1564 Å
α = 90.00°, β = 90.00°, γ = 90.00°
Space group F-43m (No. 216)
Asymmetric unit:
La (0.0000, 0.0000, 0.0000)
Co (0.1246, 0.1246, 0.3754)
Te (0.2500, 0.2500, 0.7500)

---

Below is a crystal of ZrOs3F relaxed with PBEsol, with properties calculated at the SCAN level.

Results
E_form (uncorrected) (meV per atom): 2621
Relative energy among the computed polymorphs (kJ per mole of atoms): 164.05
DOS(E_F) (states/eV/cell): 4.42
Energy (Ry/atom): -3.4805

a = 4.8060 Å, b = 4.8060 Å, c = 4.8060 Å
α = 90.00°, β = 90.00°, γ = 90.00°
Space group Pm-3m (No. 221)
Asymmetric unit:
Zr (0.0000, 0.0000, 0.0000)
Os (0.0000, 0.0000, 0.5000)
F (0.5000, 0.5000, 0.5000)

---

Below is a crystal of LaAg3Rh relaxed with PBEsol, with properties calculated at the SCAN level.

Results
E_form (eV per atom): 0.3076
DOS(E_F) (states/eV/cell): 2.13
Energy (Ry/atom): -2.4907

a = 4.9370 Å, b = 4.9370 Å, c = 4.9370 Å
α = 90.00°, β = 90.00°, γ = 90.00°
Space group Pm-3m (No. 221)
Asymmetric unit:
La (0.0000, 0.0000, 0.0000)
Ag (0.0000, 0.5000, 0.5000)
Rh (0.5000, 0.5000, 0.5000)

---

Below is a crystal of TlIn5 relaxed with PBEsol, with properties calculated at the SCAN level.

Results
E_form (eV per atom): 0.0766
Relative energy among the computed polymorphs (kJ per mole of atoms): 1.69
DOS(E_F) (states/eV/cell): 4.81
Energy (Ry/atom): -2.9256

a = 5.3076 Å, b = 3.2920 Å, c = 17.8344 Å
α = 90.00°, β = 90.00°, γ = 90.00°
Space group Amm2 (No. 38)
Asymmetric unit:
Tl (0.0000, 0.0000, 0.0000)
In (0.0000, 0.0000, 0.3313)
In (0.0000, 0.0000, 0.6687)
In (0.5000, 0.0000, 0.2257)
In (0.5000, 0.0000, 0.5622)
In (0.5000, 0.0000, 0.8908)

---

Below is a crystal of Er3Si12Ru4 relaxed with PBEsol, with properties calculated at the SCAN level.

Results
E_form (uncorrected) (meV per atom): -658
DOS(E_F) (states/eV/cell): 14.49
Energy (Ry/atom): -1.6363

a = 18.3362 Å, b = 8.0265 Å, c = 8.0321 Å
α = 90.00°, β = 90.00°, γ = 90.00°
Space group Cmce (No. 64)
Asymmetric unit:
Er (0.0000, 0.0000, 0.0000)
Er (0.2500, 0.2470, 0.2500)
Si (0.0000, 0.1680, 0.3324)
Si (0.1171, 0.0048, 0.7295)
Si (0.1171, 0.2295, 0.5061)
Si (0.2052, 0.0000, 0.5000)
Ru (0.0000, 0.1265, 0.6268)
Ru (0.1697, 0.0000, 0.0000)

---

Below is a crystal of Tc2OsPb relaxed with PBEsol, with properties calculated at the SCAN level.

Results
E_form (eV per atom): 0.6393
DOS(E_F) (states/eV/cell): 8.35
Energy (Ry/atom): -3.9547

a = 9.1524 Å, b = 2.9171 Å, c = 4.9794 Å
α = 90.00°, β = 101.12°, γ = 90.00°
Space group C2/m (No. 12)
Asymmetric unit:
Tc (0.2369, 0.0000, 0.2052)
Os (0.0000, 0.5000, 0.0000)
Pb (0.0000, 0.0000, 0.5000)

---

Below is a crystal of Dy2AlCo2 relaxed with PBEsol, with properties calculated at the SCAN level.

Results
E_form (eV per atom): -0.3195
DOS(E_F) (states/eV/cell): 6.31
Energy (Ry/atom): -2.0514

a = 3.9910 Å, b = 5.3592 Å, c = 8.2216 Å
α = 90.00°, β = 90.00°, γ = 90.00°
Space group Immm (No. 71)
Asymmetric unit:
Dy (0.0000, 0.0000, 0.2050)
Al (0.0000, 0.5000, 0.0000)
Co (0.0000, 0.2807, 0.5000)

---

Below is a crystal of LiTaS2 relaxed with PBEsol, with properties calculated at the SCAN level.

Results
E_form (uncorrected) (meV per atom): -1405
Energy (Ry/atom): -1.7244

a = 3.3159 Å, b = 3.3159 Å, c = 12.8374 Å
α = 90.00°, β = 90.00°, γ = 120.00°
Space group P6_3/mmc (No. 194)
Asymmetric unit:
Li (0.0000, 0.0000, 0.0000)
Ta (0.0000, 0.0000, 0.2500)
S (0.3333, 0.6667, 0.1278)

---

Below is a crystal of InFePb2 relaxed with PBEsol, with properties calculated at the SCAN level.

Results
E_form (eV per atom): 0.5126
Relative energy among the computed polymorphs (kJ per mole of atoms): 25.75
DOS(E_F) (states/eV/cell): 2.63
Energy (Ry/atom): -3.6938

a = 3.4495 Å, b = 5.0985 Å, c = 5.3895 Å
α = 90.00°, β = 90.00°, γ = 90.00°
Space group Pmmm (No. 47)
Asymmetric unit:
In (0.0000, 0.0000, 0.0000)
Fe (0.5000, 0.0000, 0.5000)
Pb (0.0000, 0.5000, 0.5000)
Pb (0.5000, 0.5000, 0.0000)

---

Below is a crystal of NiPIr relaxed with PBEsol, with properties calculated at the SCAN level.

Results
E_form (eV per atom): -0.5132
DOS(E_F) (states/eV/cell): 5.28
Energy (Ry/atom): -2.4306

a = 5.3749 Å, b = 5.3749 Å, c = 5.3749 Å
α = 90.00°, β = 90.00°, γ = 90.00°
Space group F-43m (No. 216)
Asymmetric unit:
Ni (0.0000, 0.0000, 0.0000)
P (0.2500, 0.2500, 0.2500)
Ir (0.0000, 0.0000, 0.5000)

---

Below is a crystal of BaZnAg relaxed with PBEsol, with properties calculated at the SCAN level.

Results
E_form (eV per atom): 0.2743
DOS(E_F) (states/eV/cell): 7.44
Energy (Ry/atom): -2.0484

a = 7.4899 Å, b = 7.4899 Å, c = 7.4899 Å
α = 90.00°, β = 90.00°, γ = 90.00°
Space group F-43m (No. 216)
Asymmetric unit:
Ba (0.0000, 0.0000, 0.0000)
Zn (0.2500, 0.2500, 0.2500)
Ag (0.2500, 0.2500, 0.7500)

---

Below is a crystal of Dy2TlAg relaxed with PBEsol, with properties calculated at the SCAN level.

Results
E_form (eV per atom): -0.4912
DOS(E_F) (states/eV/cell): 8.18
Energy (Ry/atom): -3.6985

a = 7.3052 Å, b = 7.3052 Å, c = 7.3052 Å
α = 90.00°, β = 90.00°, γ = 90.00°
Space group Fm-3m (No. 225)
Asymmetric unit:
Dy (0.2500, 0.2500, 0.2500)
Tl (0.0000, 0.0000, 0.0000)
Ag (0.0000, 0.0000, 0.5000)

---

Below is a crystal of ZrSi2I relaxed with PBEsol, with properties calculated at the SCAN level.

Results
E_form (uncorrected) (meV per atom): 914
DOS(E_F) (states/eV/cell): 18.55
Energy (Ry/atom): -1.5401

a = 6.3001 Å, b = 6.3001 Å, c = 12.4245 Å
α = 90.00°, β = 90.00°, γ = 90.00°
Space group I-42d (No. 122)
Asymmetric unit:
Zr (0.0000, 0.0000, 0.0000)
Si (0.2186, 0.2500, 0.1250)
I (0.0000, 0.0000, 0.5000)